! PBE MnBr2Cl, optimized geometry; values from VASP
! Total DFT energy (no corrections) in eV/atom: -3.48
! Mass density in g/cm³: 4.3
! Magnetization in μB/f.u.: 5.01
! ΔE to the lowest computed polymorph in meV/atom: 825
! SG: I4/mmm
&SYSTEM
  ibrav = 0, nat = 4, ntyp = 3
/
ATOMIC_SPECIES
Br 79.90 Br.upf
Cl 35.45 Cl.upf
Mn 54.94 Mn.upf
CELL_PARAMETERS angstrom
6.407 0.170 0.000
3.622 5.288 0.000
-5.014 -2.729 2.913
ATOMIC_POSITIONS crystal
Br 0.000 0.000 0.000
Cl 0.250 0.750 0.500
Br 0.500 0.500 0.000
Mn 0.750 0.250 0.500